[1]
BaCaNi | GGA-PBE | relaxed

Structure (POSCAR):
```
BaCaNi
1.0
6.9915 0.0000 0.0000
0.0000 4.1543 0.0000
-3.4324 0.0000 7.5212
Ba Ca Ni
2 2 2
Cartesian
0.5886 1.0386 2.1759
2.9705 3.1157 5.3454
-0.6508 1.0386 5.9463
4.2099 3.1157 1.5750
-1.1520 3.1157 3.9129
4.7111 1.0386 3.6083
```

Values from the calculation:
- symmetry = No. 11
- raw total energy (Ry per atom) = -0.240
- energy of formation (eV/atom) = -0.025
- total magnetic moment (μB per atom) = 0.00

***

[2]
BaCaNi | GGA-PBE | relaxed

Structure (POSCAR):
```
BaCaNi
1.0
4.1647 0.0000 0.0000
0.0025 6.6757 0.0000
2.0616 1.3519 7.6598
Ba Ca Ni
2 2 2
Cartesian
0.0000 0.0000 0.0000
2.0611 6.6648 3.9398
4.1411 4.5278 6.6171
4.1390 3.2806 2.8358
2.0520 3.1442 5.0180
4.1343 2.0054 5.3359
```

Values from the calculation:
- symmetry = No. 1
- raw total energy (Ry per atom) = -0.240
- energy of formation (eV/atom) = -0.034
- total magnetic moment (μB per atom) = 0.00

***

[3]
BaCaNi | GGA-PBE | relaxed

Structure (POSCAR):
```
BaCaNi
1.0
2.1628 1.2487 6.7359
-2.1628 1.2487 6.7359
0.0000 -2.4974 6.7359
Ba Ca Ni
1 1 1
Cartesian
0.0000 0.0000 0.0000
0.0000 0.0000 9.8709
0.0000 0.0000 15.2308
```

Values from the calculation:
- symmetry = No. 160
- raw total energy (Ry per atom) = -0.234
- energy of formation (eV/atom) = 0.053
- total magnetic moment (μB per atom) = 0.00

***

[4]
BaCa3Ni | GGA-PBE | relaxed

Structure (POSCAR):
```
BaCa3Ni
1.0
5.7122 0.0000 0.0000
0.0000 5.7122 0.0000
0.0000 0.0000 5.7122
Ba Ca Ni
1 3 1
Cartesian
0.0000 0.0000 0.0000
0.0000 2.8561 2.8561
2.8561 0.0000 2.8561
2.8561 2.8561 0.0000
2.8561 2.8561 2.8561
```

Values from the calculation:
- symmetry = No. 221
- raw total energy (Ry per atom) = -0.204
- energy of formation (eV/atom) = -0.036
- total magnetic moment (μB per atom) = 0.00

***

[5]
BaCaNi | GGA-PBE | relaxed

Structure (POSCAR):
```
BaCaNi
1.0
7.6082 -2.1028 0.0000
7.6082 2.1028 0.0000
-1.2287 0.0000 6.6411
Ba Ca Ni
2 2 2
Cartesian
1.8999 0.0000 2.0174
12.0878 0.0000 4.6237
5.8597 0.0000 1.3256
8.1279 0.0000 5.3155
2.5021 0.0000 6.0647
11.4855 0.0000 0.5763
```

Values from the calculation:
- symmetry = No. 12
- raw total energy (Ry per atom) = -0.241
- energy of formation (eV/atom) = -0.039
- total magnetic moment (μB per atom) = 0.00

***

[6]
BaCaNi2 | GGA-PBE | relaxed

Structure (POSCAR):
```
BaCaNi2
1.0
0.0000 3.5171 3.5171
3.5171 0.0000 3.5171
3.5171 3.5171 0.0000
Ba Ca Ni
1 1 2
Cartesian
0.0000 0.0000 0.0000
5.2757 5.2757 5.2757
1.7586 1.7586 1.7586
3.5171 3.5171 3.5171
```

Values from the calculation:
- symmetry = No. 216
- raw total energy (Ry per atom) = -0.252
- energy of formation (eV/atom) = 0.447
- total magnetic moment (μB per atom) = 0.00